[1]
10
Lattice="-2.780 -0.852 -2.546 -1.547 -2.488 2.521 -10.919 14.093 7.208" Properties=species:S:1:pos:R:3 comment="Ca5AlTl4 PBE-GGA optimized geometry" ef_ev_per_fu=-3.9 vol_a3_per_atom=28.7 pbc="T T T"
Ca -3.179 -0.359 0.658
Ca -5.391 2.496 2.118
Ca -7.623 5.377 3.591
Ca -9.855 8.258 5.065
Ca -12.067 11.113 6.525
Al 0.000 0.000 0.000
Tl -2.105 2.718 1.390
Tl -4.349 5.614 2.871
Tl -6.570 8.480 4.337
Tl -8.813 11.376 5.818



[2]
20
Lattice="-6.502 -0.845 6.772 6.146 -4.047 4.618 -0.139 8.685 0.173" Properties=species:S:1:pos:R:3 comment="SmDyHo2Tm6 PBE-GGA optimized geometry" ef_ev_per_fu=1.2 vol_a3_per_atom=31.2 pbc="T T T"
Sm 4.363 -3.940 6.200
Sm -4.858 7.733 5.363
Dy 0.808 3.262 3.685
Dy -1.303 0.530 7.878
Ho 1.888 2.416 6.907
Ho 1.539 0.441 1.745
Ho -2.383 1.377 4.656
Ho -2.034 3.351 9.818
Tm 0.288 5.959 1.096
Tm -1.461 6.215 4.303
Tm -0.783 -2.166 10.467
Tm 0.966 -2.422 7.260
Tm 3.897 -0.486 6.745
Tm 2.304 -2.277 3.868
Tm -4.392 4.278 4.818
Tm -2.799 6.069 7.695
Tm 3.522 1.306 4.160
Tm 0.596 0.148 4.981
Tm -4.017 2.486 7.403
Tm -1.091 3.644 6.583



[3]
10
Lattice="4.218 0.000 0.000 0.000 4.218 0.000 0.000 0.000 10.215" Properties=species:S:1:pos:R:3 comment="Nd2Al3Cu5 PBE-GGA optimized geometry" ef_ev_per_fu=-2.5 vol_a3_per_atom=18.2 pbc="T T T"
Nd 2.109 0.000 2.399
Nd 0.000 2.109 7.815
Al 2.109 0.000 6.587
Al 0.000 2.109 3.627
Al 0.000 0.000 5.107
Cu 2.109 2.109 0.000
Cu 0.000 0.000 0.000
Cu 2.109 0.000 8.995
Cu 0.000 2.109 1.220
Cu 2.109 2.109 5.107